No. 1
A plane-wave DFT calculation with PBE was carried out for Np4CN3 after structural relaxation.

```
data_Np4CN3
_chemical_formula_sum 'Np8 C2 N6'
_cell_length_a 5.989
_cell_length_b 6.943
_cell_length_c 6.003
_cell_angle_alpha 90.00
_cell_angle_beta 109.51
_cell_angle_gamma 90.00
_symmetry_space_group_name_H-M 'P 1 2/c 1'
_symmetry_Int_Tables_number 13
_symmetry_space_group_name_Hall '-P 2yc'
loop_
_atom_site_label
_atom_site_type_symbol
_atom_site_fract_x
_atom_site_fract_y
_atom_site_fract_z
Np1 Np 0.246 0.127 0.001
Np2 Np 0.249 0.377 0.497
C1 C 0.500 0.127 0.750
N1 N 0.000 0.126 0.250
N2 N 0.000 0.375 0.750
N3 N 0.500 0.376 0.250
```

Formation energy without anion corrections: -0.798 eV per atom
D(E_F): 2.181 states/eV per atom

***

No. 2
A plane-wave DFT calculation with PBE was carried out for NpCN after structural relaxation.

```
data_NpCN
_chemical_formula_sum 'Np2 C2 N2'
_cell_length_a 3.475
_cell_length_b 3.475
_cell_length_c 5.910
_cell_angle_alpha 90.00
_cell_angle_beta 90.00
_cell_angle_gamma 90.00
_symmetry_space_group_name_H-M 'I 4 m m'
_symmetry_Int_Tables_number 107
_symmetry_space_group_name_Hall 'I 4 -2'
loop_
_atom_site_label
_atom_site_type_symbol
_atom_site_fract_x
_atom_site_fract_y
_atom_site_fract_z
Np1 Np 0.000 0.000 0.000
C1 C 0.000 0.000 0.611
N1 N 0.000 0.000 0.384
```

Formation energy without anion corrections: -0.388 eV per atom
D(E_F): 1.804 states/eV per atom

***

No. 3
A plane-wave DFT calculation with PBE was carried out for NpCN after structural relaxation.

```
data_NpCN
_chemical_formula_sum 'Np2 C2 N2'
_cell_length_a 3.787
_cell_length_b 3.793
_cell_length_c 5.705
_cell_angle_alpha 80.65
_cell_angle_beta 80.58
_cell_angle_gamma 87.87
_symmetry_space_group_name_H-M 'P -1'
_symmetry_Int_Tables_number 2
_symmetry_space_group_name_Hall '-P 1'
loop_
_atom_site_label
_atom_site_type_symbol
_atom_site_fract_x
_atom_site_fract_y
_atom_site_fract_z
Np1 Np 0.207 0.208 0.215
C1 C 0.374 0.623 0.502
N1 N 0.249 0.750 0.001
```

Formation energy without anion corrections: -0.428 eV per atom
D(E_F): 1.879 states/eV per atom

***

No. 4
A plane-wave DFT calculation with PBE was carried out for Np3CN2 after structural relaxation.

```
data_Np3CN2
_chemical_formula_sum 'Np6 C2 N4'
_cell_length_a 3.480
_cell_length_b 4.915
_cell_length_c 10.420
_cell_angle_alpha 90.00
_cell_angle_beta 90.00
_cell_angle_gamma 90.00
_symmetry_space_group_name_H-M 'I m m m'
_symmetry_Int_Tables_number 71
_symmetry_space_group_name_Hall '-I 2 2'
loop_
_atom_site_label
_atom_site_type_symbol
_atom_site_fract_x
_atom_site_fract_y
_atom_site_fract_z
Np1 Np 0.000 0.000 0.000
Np2 Np 0.000 0.000 0.330
C1 C 0.000 0.500 0.000
N1 N 0.000 0.500 0.336
```

Formation energy without anion corrections: -0.694 eV per atom
D(E_F): 2.097 states/eV per atom

***

No. 5
A plane-wave DFT calculation with PBE was carried out for TmNpCN after structural relaxation.

```
data_TmNpCN
_chemical_formula_sum 'Tm3 Np3 C3 N3'
_cell_length_a 3.4655
_cell_length_b 3.4655
_cell_length_c 17.0473
_cell_angle_alpha 90.00
_cell_angle_beta 90.00
_cell_angle_gamma 120.00
_symmetry_space_group_name_H-M 'R 3 m'
_symmetry_Int_Tables_number 160
_symmetry_space_group_name_Hall 'R 3 -2"'
loop_
_atom_site_label
_atom_site_type_symbol
_atom_site_fract_x
_atom_site_fract_y
_atom_site_fract_z
Tm1 Tm 0.0000 0.0000 0.0000
Np1 Np 0.0000 0.0000 0.5014
C1 C 0.0000 0.0000 0.7566
N1 N 0.0000 0.0000 0.2481
```

Formation energy without anion corrections: -0.792 eV per atom
D(E_F): 1.063 states/eV per atom

***

No. 6
A plane-wave DFT calculation with PBE was carried out for NpUCN after structural relaxation.

```
data_NpUCN
_chemical_formula_sum 'Np3 U3 C3 N3'
_cell_length_a 3.5119
_cell_length_b 3.5119
_cell_length_c 16.7057
_cell_angle_alpha 90.00
_cell_angle_beta 90.00
_cell_angle_gamma 120.00
_symmetry_space_group_name_H-M 'R 3 m'
_symmetry_Int_Tables_number 160
_symmetry_space_group_name_Hall 'R 3 -2"'
loop_
_atom_site_label
_atom_site_type_symbol
_atom_site_fract_x
_atom_site_fract_y
_atom_site_fract_z
Np1 Np 0.0000 0.0000 0.0000
U1 U 0.0000 0.0000 0.5030
C1 C 0.0000 0.0000 0.7564
N1 N 0.0000 0.0000 0.2466
```

Formation energy without anion corrections: -0.613 eV per atom
D(E_F): 1.977 states/eV per atom

***

No. 7
A plane-wave DFT calculation with PBE was carried out for OsCNO2 after structural relaxation.

```
data_OsCNO2
_chemical_formula_sum 'Os1 C1 N1 O2'
_cell_length_a 3.392
_cell_length_b 3.392
_cell_length_c 3.468
_cell_angle_alpha 90.00
_cell_angle_beta 90.00
_cell_angle_gamma 90.00
_symmetry_space_group_name_H-M 'P 4/m m m'
_symmetry_Int_Tables_number 123
_symmetry_space_group_name_Hall '-P 4 2'
loop_
_atom_site_label
_atom_site_type_symbol
_atom_site_fract_x
_atom_site_fract_y
_atom_site_fract_z
Os1 Os 0.000 0.000 0.000
C1 C 0.500 0.500 0.500
N1 N 0.500 0.500 0.000
O1 O 0.000 0.500 0.500
```

Formation energy without anion corrections: 1.737 eV per atom
D(E_F): 0.513 states/eV per atom

***

No. 8
A plane-wave DFT calculation with PBE was carried out for OsCNO2 after structural relaxation.

```
data_OsCNO2
_chemical_formula_sum 'Os1 C1 N1 O2'
_cell_length_a 3.808
_cell_length_b 3.808
_cell_length_c 3.860
_cell_angle_alpha 90.00
_cell_angle_beta 90.00
_cell_angle_gamma 90.00
_symmetry_space_group_name_H-M 'P 4/m m m'
_symmetry_Int_Tables_number 123
_symmetry_space_group_name_Hall '-P 4 2'
loop_
_atom_site_label
_atom_site_type_symbol
_atom_site_fract_x
_atom_site_fract_y
_atom_site_fract_z
Os1 Os 0.000 0.000 0.000
C1 C 0.500 0.500 0.500
N1 N 0.000 0.000 0.500
O1 O 0.000 0.500 0.000
```

Formation energy without anion corrections: 1.295 eV per atom
D(E_F): 0.707 states/eV per atom

***

No. 9
A plane-wave DFT calculation with PBE was carried out for OsCN2O after structural relaxation.

```
data_OsCN2O
_chemical_formula_sum 'Os1 C1 N2 O1'
_cell_length_a 3.397
_cell_length_b 3.397
_cell_length_c 3.373
_cell_angle_alpha 90.00
_cell_angle_beta 90.00
_cell_angle_gamma 90.00
_symmetry_space_group_name_H-M 'P 4/m m m'
_symmetry_Int_Tables_number 123
_symmetry_space_group_name_Hall '-P 4 2'
loop_
_atom_site_label
_atom_site_type_symbol
_atom_site_fract_x
_atom_site_fract_y
_atom_site_fract_z
Os1 Os 0.000 0.000 0.000
C1 C 0.500 0.500 0.500
N1 N 0.000 0.500 0.500
O1 O 0.500 0.500 0.000
```

Formation energy without anion corrections: 2.094 eV per atom
D(E_F): 0.575 states/eV per atom

***

No. 10
A plane-wave DFT calculation with PBE was carried out for OsCN2O after structural relaxation.

```
data_OsCN2O
_chemical_formula_sum 'Os1 C1 N2 O1'
_cell_length_a 3.866
_cell_length_b 3.866
_cell_length_c 3.772
_cell_angle_alpha 90.00
_cell_angle_beta 90.00
_cell_angle_gamma 90.00
_symmetry_space_group_name_H-M 'P 4/m m m'
_symmetry_Int_Tables_number 123
_symmetry_space_group_name_Hall '-P 4 2'
loop_
_atom_site_label
_atom_site_type_symbol
_atom_site_fract_x
_atom_site_fract_y
_atom_site_fract_z
Os1 Os 0.000 0.000 0.000
C1 C 0.500 0.500 0.500
N1 N 0.000 0.500 0.000
O1 O 0.000 0.000 0.500
```

Formation energy without anion corrections: 1.850 eV per atom
D(E_F): 0.870 states/eV per atom

***

No. 11
A plane-wave DFT calculation with PBE was carried out for UP2C2N2O8 after structural relaxation.

```
data_UP2C2N2O8
_chemical_formula_sum 'U1 P2 C2 N2 O8'
_cell_length_a 5.538
_cell_length_b 5.540
_cell_length_c 9.909
_cell_angle_alpha 91.69
_cell_angle_beta 100.87
_cell_angle_gamma 119.98
_symmetry_space_group_name_H-M 'P -1'
_symmetry_Int_Tables_number 2
_symmetry_space_group_name_Hall '-P 1'
loop_
_atom_site_label
_atom_site_type_symbol
_atom_site_fract_x
_atom_site_fract_y
_atom_site_fract_z
U1 U 0.000 0.000 0.000
P1 P 0.424 0.722 0.189
C1 C 0.072 0.529 0.568
N1 N 0.194 0.578 0.684
O1 O 0.238 0.401 0.119
O2 O 0.239 0.852 0.121
O3 O 0.310 0.148 0.882
O4 O 0.500 0.233 0.659
```

Formation energy without anion corrections: -1.566 eV per atom

***

No. 12
A plane-wave DFT calculation with PBE was carried out for PaCN2O after structural relaxation.

```
data_PaCN2O
_chemical_formula_sum 'Pa2 C2 N4 O2'
_cell_length_a 5.957
_cell_length_b 3.858
_cell_length_c 6.724
_cell_angle_alpha 90.00
_cell_angle_beta 96.98
_cell_angle_gamma 90.00
_symmetry_space_group_name_H-M 'P 1 21/m 1'
_symmetry_Int_Tables_number 11
_symmetry_space_group_name_Hall '-P 2yb'
loop_
_atom_site_label
_atom_site_type_symbol
_atom_site_fract_x
_atom_site_fract_y
_atom_site_fract_z
Pa1 Pa 0.248 0.250 0.118
C1 C 0.359 0.250 0.639
N1 N 0.276 0.250 0.467
N2 N 0.450 0.250 0.820
O1 O 0.062 0.750 0.124
```

Formation energy without anion corrections: -1.340 eV per atom
D(E_F): 0.760 states/eV per atom